1.
This record from the Alexandria database describes Er8Sb2C3 after structural relaxation. The functional is PBE.

DOS at the Fermi energy = 0.75 states/eV per atom
Formation energy (no corrections) = -0.48 eV/atom
Energy = -6.05 eV per atom
Size of the total moment = 0.00 μB/f.u.
Calculated density = 8.24 Mg/m³

Lattice parameters (Å, degrees): 6.324 7.195 8.289 115.72 104.77 90.00
Atoms (fractional coordinates):
Er  0.104  0.909  0.818
Er  0.389  0.332  0.183
Er  0.389  0.851  0.183
Er  0.611  0.149  0.817
Er  0.089  0.407  0.814
Er  0.911  0.593  0.186
Er  0.896  0.091  0.182
Er  0.611  0.668  0.817
C  0.000  0.253  0.000
C  0.500  0.000  0.000
C  0.000  0.747  0.000
Sb  0.679  0.746  0.493
Sb  0.321  0.254  0.507

---

2.
This record from the Alexandria database describes Er2SbC after structural relaxation. The functional is PBE.

DOS at the Fermi energy = 0.37 states/eV per atom
Formation energy (no corrections) = -0.57 eV/atom
Energy = -6.19 eV per atom
Size of the total moment = 0.00 μB/f.u.
Calculated density = 9.34 Mg/m³

Lattice parameters (Å, degrees): 4.924 6.641 10.187 90.00 90.00 90.00
Atoms (fractional coordinates):
C  0.250  0.637  0.915
C  0.750  0.363  0.085
C  0.250  0.137  0.585
C  0.750  0.863  0.415
Er  0.250  0.337  0.052
Er  0.250  0.946  0.779
Er  0.750  0.663  0.948
Er  0.250  0.446  0.721
Er  0.250  0.837  0.448
Er  0.750  0.554  0.279
Er  0.750  0.054  0.221
Er  0.750  0.163  0.552
Sb  0.750  0.683  0.618
Sb  0.750  0.183  0.882
Sb  0.250  0.817  0.118
Sb  0.250  0.317  0.382

---

3.
This record from the Alexandria database describes Er5Sb2C after structural relaxation. The functional is PBE.

DOS at the Fermi energy = 1.09 states/eV per atom
Formation energy (no corrections) = -0.27 eV/atom
Energy = -5.31 eV per atom
Size of the total moment = 0.81 μB/f.u.
Calculated density = 7.18 Mg/m³

Lattice parameters (Å, degrees): 5.183 8.104 12.685 90.00 90.00 108.65
Atoms (fractional coordinates):
Sb  0.128  0.256  0.603
Sb  0.872  0.744  0.103
Sb  0.872  0.744  0.397
Sb  0.128  0.256  0.897
Er  0.074  0.148  0.124
Er  0.926  0.852  0.876
Er  0.074  0.148  0.376
Er  0.717  0.435  0.587
Er  0.703  0.405  0.250
Er  0.283  0.565  0.087
Er  0.297  0.595  0.750
Er  0.717  0.435  0.913
Er  0.283  0.565  0.413
Er  0.926  0.852  0.624
C  0.186  0.372  0.250
C  0.814  0.628  0.750

---

4.
This record from the Alexandria database describes Er2Sc2Sb2C after structural relaxation. The functional is PBE.

DOS at the Fermi energy = 1.05 states/eV per atom
Formation energy (no corrections) = -0.90 eV/atom
Energy = -6.51 eV per atom
Size of the total moment = 0.01 μB/f.u.
Calculated density = 7.20 Mg/m³

Lattice parameters (Å, degrees): 4.488 4.488 8.413 105.47 105.47 90.00
Atoms (fractional coordinates):
Sc  0.000  0.500  0.000
Sc  0.500  0.000  0.000
Sb  0.639  0.639  0.279
Sb  0.361  0.361  0.721
Er  0.841  0.841  0.682
Er  0.159  0.159  0.318
C  0.000  0.000  0.000

---

5.
This record from the Alexandria database describes Er6SbC2Se3 after structural relaxation. The functional is PBE.

DOS at the Fermi energy = 0.26 states/eV per atom
Formation energy (no corrections) = -1.21 eV/atom
Energy = -6.24 eV per atom
Size of the total moment = 0.00 μB/f.u.
Calculated density = 8.71 Mg/m³

Lattice parameters (Å, degrees): 3.874 8.070 8.906 103.25 102.56 90.00
Atoms (fractional coordinates):
Er  0.320  0.437  0.639
Er  0.324  0.867  0.648
Er  0.676  0.133  0.352
Er  0.028  0.275  0.056
Er  0.680  0.563  0.361
Er  0.972  0.725  0.944
Sb  0.500  0.000  0.000
Se  0.161  0.832  0.321
Se  0.500  0.500  0.000
Se  0.839  0.168  0.679
C  0.827  0.657  0.654
C  0.173  0.343  0.346

---

6.
This record from the Alexandria database describes Er8Sb4CSe3 after structural relaxation. The functional is PBE.

DOS at the Fermi energy = 0.24 states/eV per atom
Formation energy (no corrections) = -1.20 eV/atom
Energy = -5.74 eV per atom
Size of the total moment = 0.00 μB/f.u.
Calculated density = 8.56 Mg/m³

Lattice parameters (Å, degrees): 8.261 8.314 8.262 119.79 120.00 90.00
Atoms (fractional coordinates):
Er  0.253  0.260  0.507
Er  0.225  0.719  0.450
Er  0.769  0.719  0.994
Er  0.775  0.281  0.550
Er  0.231  0.281  0.006
Er  0.775  0.281  0.006
Er  0.225  0.719  0.994
Er  0.747  0.740  0.493
Sb  0.500  0.000  0.000
Sb  0.000  0.000  0.500
Sb  0.500  0.000  0.500
Sb  0.000  0.000  0.000
Se  0.500  0.500  0.000
Se  0.500  0.500  0.500
Se  0.000  0.500  0.500
C  0.000  0.500  0.000

---

Copy entry 1 word for word.
This record from the Alexandria database describes Er8Sb2C3 after structural relaxation. The functional is PBE.

DOS at the Fermi energy = 0.75 states/eV per atom
Formation energy (no corrections) = -0.48 eV/atom
Energy = -6.05 eV per atom
Size of the total moment = 0.00 μB/f.u.
Calculated density = 8.24 Mg/m³

Lattice parameters (Å, degrees): 6.324 7.195 8.289 115.72 104.77 90.00
Atoms (fractional coordinates):
Er  0.104  0.909  0.818
Er  0.389  0.332  0.183
Er  0.389  0.851  0.183
Er  0.611  0.149  0.817
Er  0.089  0.407  0.814
Er  0.911  0.593  0.186
Er  0.896  0.091  0.182
Er  0.611  0.668  0.817
C  0.000  0.253  0.000
C  0.500  0.000  0.000
C  0.000  0.747  0.000
Sb  0.679  0.746  0.493
Sb  0.321  0.254  0.507

---

- Look up the energy of the sixth one.
  -5.74 eV per atom

---

- size of the total moment of number 1 (Er8Sb2C3)?
  0.00 μB/f.u.